# 1
Below is crystalline Rb2H6Se at its relaxed geometry, with properties calculated at the PBE level. Values from VASP.

Results
For the total energy, the calculation gives -3.0222 eV per atom. The value obtained for the total magnetization is 0.00 μB per cell.

Quantum ESPRESSO input file:
```
&SYSTEM
  ibrav = 0, nat = 18, ntyp = 3
/
ATOMIC_SPECIES
Rb 85.47 Rb.upf
H 1.01 H.upf
Se 78.96 Se.upf
CELL_PARAMETERS angstrom
-8.526 6.864 -0.320
-3.015 -4.973 -0.197
8.033 -3.450 6.593
ATOMIC_POSITIONS crystal
Rb 0.345 0.885 0.201
Rb 0.799 0.615 0.655
Rb 0.655 0.115 0.799
Rb 0.201 0.385 0.345
H 0.362 0.728 0.724
H 0.276 0.772 0.638
H 0.638 0.272 0.276
H 0.724 0.228 0.362
H 0.792 0.107 0.644
H 0.356 0.393 0.208
H 0.208 0.893 0.356
H 0.644 0.607 0.792
H 0.190 0.815 0.809
H 0.191 0.685 0.810
H 0.810 0.185 0.191
H 0.809 0.315 0.190
Se 0.922 0.750 0.078
Se 0.078 0.250 0.922
```

***

# 2
Below is crystalline KYAsBr2 at its relaxed geometry, with properties calculated at the PBE level. Values from VASP.

Results
For the total energy, the calculation gives -3.1854 eV per atom. The value obtained for the total magnetization is 0.00 μB per cell. The uncorrected formation energy comes out at -74.1 meV per atom. The value obtained for the energy above the lowest structure with this stoichiometry is 1.083 eV per atom.

Quantum ESPRESSO input file:
```
&SYSTEM
  ibrav = 0, nat = 5, ntyp = 4
/
ATOMIC_SPECIES
Y 88.91 Y.upf
As 74.92 As.upf
K 39.10 K.upf
Br 79.90 Br.upf
CELL_PARAMETERS angstrom
5.446 0.000 0.000
0.000 5.446 0.000
0.000 0.000 5.760
ATOMIC_POSITIONS crystal
Y 0.500 0.500 0.500
As 0.000 0.000 0.500
K 0.000 0.000 0.000
Br 0.000 0.500 0.000
Br 0.500 0.000 0.000
```

***

# 3
Below is crystalline Tb2PrTl2Zn2 at its relaxed geometry, with properties calculated at the PBE level. Values from VASP.

Results
For the total energy, the calculation gives -3.2309 eV per atom. The calculated formation energy comes out at -0.1852 eV per atom. The value obtained for the total magnetization is 0.00 μB per cell.

Quantum ESPRESSO input file:
```
&SYSTEM
  ibrav = 0, nat = 7, ntyp = 4
/
ATOMIC_SPECIES
Tb 158.93 Tb.upf
Pr 140.91 Pr.upf
Tl 204.38 Tl.upf
Zn 65.41 Zn.upf
CELL_PARAMETERS angstrom
4.798 0.000 0.000
2.399 4.155 0.000
2.399 1.385 9.176
ATOMIC_POSITIONS crystal
Tb 0.131 0.131 0.608
Tb 0.869 0.869 0.392
Pr 0.000 0.000 0.000
Tl 0.736 0.736 0.792
Tl 0.264 0.264 0.208
Zn 0.578 0.578 0.267
Zn 0.422 0.422 0.733
```

***

# 4
Below is crystalline Li2YMg2 at its relaxed geometry, with properties calculated at the PBE level. Values from VASP.

Results
For the total energy, the calculation gives -2.7032 eV per atom. The calculated formation energy comes out at -0.0070 eV per atom. The value obtained for the total magnetization is 0.01 μB per cell. The value obtained for the energy above the lowest structure with this stoichiometry is 0.000 eV per atom.

Quantum ESPRESSO input file:
```
&SYSTEM
  ibrav = 0, nat = 5, ntyp = 3
/
ATOMIC_SPECIES
Li 6.94 Li.upf
Y 88.91 Y.upf
Mg 24.30 Mg.upf
CELL_PARAMETERS angstrom
3.451 0.000 0.000
0.000 3.741 0.709
0.000 0.194 9.201
ATOMIC_POSITIONS crystal
Li 0.000 0.197 0.606
Li 0.000 0.803 0.394
Y 0.000 0.000 0.000
Mg 0.500 0.381 0.237
Mg 0.500 0.619 0.763
```

***

# 5
Below is crystalline LaTbY2 at its relaxed geometry, with properties calculated at the PBE level. Values from VASP.

Results
For the total energy, the calculation gives -5.6033 eV per atom. The calculated formation energy comes out at 0.0182 eV per atom. The value obtained for the total magnetization is 0.00 μB per cell. The value obtained for the energy above the lowest structure with this stoichiometry is 0.010 eV per atom.

Quantum ESPRESSO input file:
```
&SYSTEM
  ibrav = 0, nat = 4, ntyp = 3
/
ATOMIC_SPECIES
Y 88.91 Y.upf
Tb 158.93 Tb.upf
La 138.91 La.upf
CELL_PARAMETERS angstrom
3.617 0.000 0.000
1.809 3.133 0.000
1.809 1.044 11.722
ATOMIC_POSITIONS crystal
Y 0.748 0.748 0.755
Y 0.252 0.252 0.245
Tb 0.000 0.000 0.000
La 0.500 0.500 0.500
```

***

# 6
Below is crystalline Ba2SnPd3Au12 at its relaxed geometry, with properties calculated at the PBE level. Values from VASP.

Results
For the total energy, the calculation gives -3.5068 eV per atom. The calculated formation energy comes out at -0.0204 eV per atom. The value obtained for the total magnetization is 0.00 μB per cell.

Quantum ESPRESSO input file:
```
&SYSTEM
  ibrav = 0, nat = 18, ntyp = 4
/
ATOMIC_SPECIES
Ba 137.33 Ba.upf
Sn 118.71 Sn.upf
Pd 106.42 Pd.upf
Au 196.97 Au.upf
CELL_PARAMETERS angstrom
-7.982 -0.756 -3.549
-0.496 -2.522 -8.382
-2.967 -8.086 -1.641
ATOMIC_POSITIONS crystal
Ba 0.615 0.615 0.615
Ba 0.385 0.385 0.385
Sn 0.000 0.000 0.000
Pd 0.500 0.000 0.000
Pd 0.000 0.500 0.000
Pd 0.000 0.000 0.500
Au 0.346 0.346 0.004
Au 0.880 0.880 0.356
Au 0.356 0.880 0.880
Au 0.004 0.346 0.346
Au 0.880 0.356 0.880
Au 0.346 0.004 0.346
Au 0.654 0.654 0.996
Au 0.120 0.120 0.644
Au 0.644 0.120 0.120
Au 0.996 0.654 0.654
Au 0.120 0.644 0.120
Au 0.654 0.996 0.654
```

***

# 7
Below is crystalline Ac2PbS4 at its relaxed geometry, with properties calculated at the PBE level. Values from VASP.

Results
For the total energy, the calculation gives -5.6811 eV per atom. The value obtained for the total magnetization is 0.00 μB per cell. The uncorrected formation energy comes out at -1618.9 meV per atom. The value obtained for the energy above the lowest structure with this stoichiometry is 0.087 eV per atom.

Quantum ESPRESSO input file:
```
&SYSTEM
  ibrav = 0, nat = 7, ntyp = 3
/
ATOMIC_SPECIES
Ac 227.00 Ac.upf
Pb 207.20 Pb.upf
S 32.06 S.upf
CELL_PARAMETERS angstrom
-0.884 -3.236 -2.802
7.146 0.447 -2.770
-1.433 -3.149 7.498
ATOMIC_POSITIONS crystal
Ac 0.714 0.719 0.428
Ac 0.286 0.281 0.572
Pb 0.000 0.000 0.000
S 0.872 0.173 0.744
S 0.128 0.827 0.256
S 0.647 0.274 0.295
S 0.353 0.726 0.705
```

***

# 8
Below is crystalline Ce4SmIr4 at its relaxed geometry, with properties calculated at the PBE level. Values from VASP.

Results
For the total energy, the calculation gives -7.7675 eV per atom. The calculated formation energy comes out at -0.6677 eV per atom. The value obtained for the total magnetization is 0.00 μB per cell.

Quantum ESPRESSO input file:
```
&SYSTEM
  ibrav = 0, nat = 18, ntyp = 3
/
ATOMIC_SPECIES
Ce 140.12 Ce.upf
Sm 150.36 Sm.upf
Ir 192.22 Ir.upf
CELL_PARAMETERS angstrom
-4.762 -1.509 2.614
3.869 -7.816 2.537
2.945 3.937 7.638
ATOMIC_POSITIONS crystal
Ce 0.499 0.312 0.897
Ce 0.999 0.603 0.812
Ce 0.499 0.688 0.103
Ce 0.001 0.188 0.603
Ce 0.501 0.897 0.688
Ce 0.001 0.812 0.397
Ce 0.999 0.397 0.188
Ce 0.501 0.103 0.312
Sm 0.000 0.000 0.000
Sm 0.500 0.500 0.500
Ir 0.501 0.802 0.390
Ir 0.501 0.198 0.610
Ir 0.001 0.890 0.698
Ir 0.999 0.302 0.890
Ir 0.999 0.698 0.110
Ir 0.499 0.390 0.198
Ir 0.499 0.610 0.802
Ir 0.001 0.110 0.302
```

***

# 9
Below is crystalline K2CdSn3 at its relaxed geometry, with properties calculated at the PBE level. Values from VASP.

Results
For the total energy, the calculation gives -2.4986 eV per atom. The calculated formation energy comes out at 0.0211 eV per atom. The value obtained for the total magnetization is 0.00 μB per cell. The value obtained for the energy above the lowest structure with this stoichiometry is 0.256 eV per atom.

Quantum ESPRESSO input file:
```
&SYSTEM
  ibrav = 0, nat = 12, ntyp = 3
/
ATOMIC_SPECIES
K 39.10 K.upf
Cd 112.41 Cd.upf
Sn 118.71 Sn.upf
CELL_PARAMETERS angstrom
7.244 0.000 0.000
-3.622 6.274 0.000
0.000 0.000 13.319
ATOMIC_POSITIONS crystal
K 0.000 0.000 0.000
K 0.667 0.333 0.187
K 0.000 0.000 0.500
K 0.333 0.667 0.813
Cd 0.333 0.667 0.135
Cd 0.667 0.333 0.865
Sn 0.134 0.267 0.248
Sn 0.733 0.866 0.248
Sn 0.134 0.866 0.248
Sn 0.866 0.733 0.752
Sn 0.866 0.134 0.752
Sn 0.267 0.134 0.752
```

***

# 10
Below is crystalline CrNi2Os at its relaxed geometry, with properties calculated at the PBE level. Values from VASP.

Results
For the total energy, the calculation gives -7.9954 eV per atom. The calculated formation energy comes out at 0.1085 eV per atom. The value obtained for the total magnetization is 1.61 μB per cell. The value obtained for the energy above the lowest structure with this stoichiometry is 0.080 eV per atom.

Quantum ESPRESSO input file:
```
&SYSTEM
  ibrav = 0, nat = 4, ntyp = 3
/
ATOMIC_SPECIES
Cr 52.00 Cr.upf
Ni 58.69 Ni.upf
Os 190.23 Os.upf
CELL_PARAMETERS angstrom
-0.466 0.679 -4.429
2.411 -3.702 0.878
-2.149 -1.397 0.012
ATOMIC_POSITIONS crystal
Cr 0.000 0.500 0.500
Ni 0.000 0.000 0.000
Ni 0.500 0.500 0.000
Os 0.500 0.000 0.500
```

***

# 11
Below is crystalline AcCe5N6 at its relaxed geometry, with properties calculated at the PBE level. Values from VASP.

Results
For the total energy, the calculation gives -8.3827 eV per atom. The value obtained for the total magnetization is 1.20 μB per cell. The uncorrected formation energy comes out at -1405.2 meV per atom.

Quantum ESPRESSO input file:
```
&SYSTEM
  ibrav = 0, nat = 12, ntyp = 3
/
ATOMIC_SPECIES
Ac 227.00 Ac.upf
Ce 140.12 Ce.upf
N 14.01 N.upf
CELL_PARAMETERS angstrom
-5.487 -3.031 0.100
0.384 -5.141 -3.584
1.859 -5.444 2.508
ATOMIC_POSITIONS crystal
Ac 0.000 0.000 0.000
Ce 0.500 0.168 0.665
Ce 0.000 0.333 0.333
Ce 0.500 0.500 0.000
Ce 0.000 0.667 0.667
Ce 0.500 0.832 0.335
N 0.738 0.087 0.355
N 0.262 0.557 0.355
N 0.258 0.271 0.000
N 0.742 0.729 0.000
N 0.738 0.443 0.645
N 0.262 0.913 0.645
```

***

# 12
Below is crystalline BeCd2Te at its relaxed geometry, with properties calculated at the PBE level. Values from VASP.

Results
For the total energy, the calculation gives -1.9777 eV per atom. The value obtained for the total magnetization is 0.00 μB per cell. The uncorrected formation energy comes out at 196.8 meV per atom. The value obtained for the energy above the lowest structure with this stoichiometry is 0.033 eV per atom.

Quantum ESPRESSO input file:
```
&SYSTEM
  ibrav = 0, nat = 4, ntyp = 3
/
ATOMIC_SPECIES
Be 9.01 Be.upf
Te 127.60 Te.upf
Cd 112.41 Cd.upf
CELL_PARAMETERS angstrom
3.547 0.000 0.000
0.000 3.547 0.000
0.000 0.000 7.832
ATOMIC_POSITIONS crystal
Be 0.500 0.500 0.576
Te 0.000 0.000 0.644
Cd 0.000 0.000 0.023
Cd 0.500 0.500 0.258
```